Crystalline Na3HgPb4 at its relaxed geometry, computed with PBE.

Unit cell a=3.511 b=5.406 c=12.898 alpha=89.63 beta=81.70 gamma=89.81
Fractional coordinates of all 8 atoms:
Pb (0.095, 0.689, 0.798)
Pb (0.227, 0.749, 0.547)
Pb (0.905, 0.311, 0.202)
Pb (0.773, 0.251, 0.453)
Na (0.635, 0.191, 0.722)
Na (0.500, 0.500, 0.000)
Na (0.365, 0.809, 0.278)
Hg (0.000, 0.000, 0.000)

Computed properties:
The calculation puts the raw total energy at -2.485 eV/atom. The crystal system is triclinic. For the density, the calculation gives 7.53 g/cm³. The density of states at the Fermi level comes out at 2.17 states/eV/f.u.



Crystalline Li2LaPPd2 at its relaxed geometry, computed with PBE.

Unit cell a=4.437 b=4.437 c=5.762 alpha=90.00 beta=90.00 gamma=90.00
Fractional coordinates of all 6 atoms:
P (0.000, 0.000, 0.000)
Pd (0.500, 0.500, 0.733)
Pd (0.500, 0.500, 0.267)
La (0.000, 0.000, 0.500)
Li (0.000, 0.500, 0.000)
Li (0.500, 0.000, 0.000)

Computed properties:
The calculation puts the raw total energy at -4.609 eV/atom. The crystal system is tetragonal. For the density, the calculation gives 5.81 g/cm³. The density of states at the Fermi level comes out at 1.15 states/eV/f.u.



Crystalline Hg4SCl5 at its relaxed geometry, computed with PBE.

Unit cell a=6.580 b=8.225 c=11.560 alpha=90.00 beta=90.00 gamma=90.00
Fractional coordinates of all 20 atoms:
Cl (0.291, 0.000, 0.500)
Cl (0.709, 0.500, 0.000)
Cl (0.776, 0.250, 0.669)
Cl (0.224, 0.250, 0.831)
Cl (0.224, 0.250, 0.169)
Cl (0.224, 0.750, 0.169)
Cl (0.776, 0.250, 0.331)
Cl (0.776, 0.750, 0.669)
Cl (0.776, 0.750, 0.331)
Cl (0.224, 0.750, 0.831)
S (0.264, 0.500, 0.500)
S (0.736, 0.000, 0.000)
Hg (0.938, 0.000, 0.805)
Hg (0.507, 0.262, 0.500)
Hg (0.062, 0.500, 0.305)
Hg (0.507, 0.738, 0.500)
Hg (0.938, 0.000, 0.195)
Hg (0.493, 0.762, 0.000)
Hg (0.493, 0.238, 0.000)
Hg (0.062, 0.500, 0.695)

Computed properties:
The calculation puts the raw total energy at -1.859 eV/atom. The crystal system is orthorhombic. The raw formation energy is -388 kJ/mol of formula units. For the density, the calculation gives 5.37 g/cm³. The density of states at the Fermi level comes out at 2.56 states/eV/f.u.



Crystalline La2ScW at its relaxed geometry, computed with PBE.

Unit cell a=10.128 b=10.128 c=10.128 alpha=19.97 beta=19.97 gamma=19.97
Fractional coordinates of all 4 atoms:
W (0.750, 0.750, 0.750)
La (0.490, 0.490, 0.490)
La (0.010, 0.010, 0.010)
Sc (0.250, 0.250, 0.250)

Computed properties:
The excess energy over the best structure of this formula in the dataset is 24.2 kJ per mole of atoms. The calculation puts the raw total energy at -6.661 eV/atom. The crystal system is trigonal. For the density, the calculation gives 7.94 g/cm³. The density of states at the Fermi level comes out at 5.81 states/eV/f.u.



Crystalline Y2Ga3GePd4 at its relaxed geometry, computed with PBE.

Unit cell a=4.182 b=4.182 c=10.705 alpha=90.00 beta=90.00 gamma=90.00
Fractional coordinates of all 10 atoms:
Pd (0.500, 0.000, 0.636)
Pd (0.000, 0.500, 0.364)
Pd (0.500, 0.500, 0.000)
Pd (0.000, 0.000, 0.000)
Y (0.000, 0.500, 0.741)
Y (0.500, 0.000, 0.259)
Ge (0.500, 0.500, 0.500)
Ga (0.000, 0.500, 0.133)
Ga (0.000, 0.000, 0.500)
Ga (0.500, 0.000, 0.867)

Computed properties:
The calculation puts the raw total energy at -5.524 eV/atom. The crystal system is tetragonal. For the density, the calculation gives 7.85 g/cm³. The density of states at the Fermi level comes out at 4.82 states/eV/f.u.



Crystalline Cs6Rb2Au2O at its relaxed geometry, computed with PBE.

Unit cell a=8.892 b=8.892 c=13.735 alpha=108.10 beta=108.10 gamma=120.57
Fractional coordinates of all 11 atoms:
Cs (0.873, 0.873, 0.653)
Cs (0.573, 0.847, 0.342)
Cs (0.153, 0.427, 0.658)
Cs (0.847, 0.573, 0.342)
Cs (0.127, 0.127, 0.347)
Cs (0.427, 0.153, 0.658)
Au (0.668, 0.332, 0.500)
Au (0.332, 0.668, 0.500)
Rb (0.165, 0.835, 0.000)
Rb (0.835, 0.165, 0.000)
O (0.000, 0.000, 0.500)

Computed properties:
The calculation puts the raw total energy at -2.075 eV/atom. The crystal system is monoclinic. The raw formation energy is -411 kJ/mol of formula units. For the density, the calculation gives 3.14 g/cm³. The density of states at the Fermi level comes out at 5.89 states/eV/f.u.



Crystalline Cs2BiPF6 at its relaxed geometry, computed with PBE.

Unit cell a=6.178 b=6.178 c=7.483 alpha=65.62 beta=65.62 gamma=90.00
Fractional coordinates of all 10 atoms:
Cs (0.750, 0.250, 0.500)
Cs (0.250, 0.750, 0.500)
F (0.261, 0.261, 0.000)
F (0.739, 0.261, 0.000)
F (0.739, 0.739, 0.000)
F (0.261, 0.739, 0.000)
F (0.186, 0.186, 0.629)
F (0.814, 0.814, 0.371)
P (0.500, 0.500, 0.000)
Bi (0.000, 0.000, 0.000)

Computed properties:
The calculation puts the raw total energy at -4.321 eV/atom. The crystal system is tetragonal. The raw formation energy is -2024 kJ/mol of formula units. For the density, the calculation gives 4.44 g/cm³. The density of states at the Fermi level comes out at 0.00 states/eV/f.u.



Crystalline Mg6NbSi at its relaxed geometry, computed with PBE.

Unit cell a=6.185 b=6.185 c=4.997 alpha=90.00 beta=90.00 gamma=124.23
Fractional coordinates of all 8 atoms:
Si (0.831, 0.169, 0.500)
Mg (0.680, 0.320, 0.000)
Mg (0.176, 0.336, 0.000)
Mg (0.826, 0.675, 0.500)
Mg (0.325, 0.174, 0.500)
Mg (0.173, 0.827, 0.000)
Mg (0.664, 0.824, 0.000)
Nb (0.324, 0.676, 0.500)

Computed properties:
The calculation puts the raw total energy at -3.010 eV/atom. The crystal system is orthorhombic. The raw formation energy is 95 kJ/mol of formula units. For the density, the calculation gives 2.80 g/cm³. The density of states at the Fermi level comes out at 5.69 states/eV/f.u.



Crystalline NiMoIr2 at its relaxed geometry, computed with PBE.

Unit cell a=2.721 b=2.721 c=7.555 alpha=90.00 beta=90.00 gamma=90.00
Fractional coordinates of all 4 atoms:
Ir (0.500, 0.500, 0.246)
Ir (0.000, 0.000, 0.989)
Mo (0.000, 0.000, 0.513)
Ni (0.500, 0.500, 0.751)

Computed properties:
The excess energy over the best structure of this formula in the dataset is 23.9 kJ per mole of atoms. The calculation puts the raw total energy at -8.601 eV/atom. The crystal system is tetragonal. For the density, the calculation gives 16.00 g/cm³. The density of states at the Fermi level comes out at 7.40 states/eV/f.u.



Crystalline InBPb2 at its relaxed geometry, computed with PBE.

Unit cell a=5.194 b=5.194 c=5.194 alpha=60.00 beta=60.00 gamma=60.00
Fractional coordinates of all 4 atoms:
In (0.500, 0.500, 0.500)
B (0.000, 0.000, 0.000)
Pb (0.250, 0.250, 0.250)
Pb (0.750, 0.750, 0.750)

Computed properties:
The excess energy over the best structure of this formula in the dataset is 24.9 kJ per mole of atoms. The calculation puts the raw total energy at -3.270 eV/atom. The crystal system is cubic. For the density, the calculation gives 9.05 g/cm³. The density of states at the Fermi level comes out at 2.16 states/eV/f.u.



Crystalline Tb2Nd4DyTh at its relaxed geometry, computed with PBE.

Unit cell a=6.062 b=6.056 c=9.493 alpha=50.44 beta=90.00 gamma=90.00
Fractional coordinates of all 8 atoms:
Tb (0.000, 0.000, 0.000)
Tb (0.500, 0.000, 0.500)
Nd (0.000, 0.746, 0.753)
Nd (0.500, 0.753, 0.247)
Nd (0.500, 0.247, 0.753)
Nd (0.000, 0.254, 0.247)
Th (0.500, 0.500, 0.000)
Dy (0.000, 0.500, 0.500)

Computed properties:
The calculation puts the raw total energy at -4.907 eV/atom. The crystal system is monoclinic. For the density, the calculation gives 7.97 g/cm³. The density of states at the Fermi level comes out at 15.87 states/eV/f.u.



Question: The highest raw total energy belongs to which entry?
Answer: Hg4SCl5